# 1
A relaxed structure of PrTlTeSe. Source: Alexandria, functional PBE.

POSCAR file:
```
PrTlTeSe
1.0
2.239 1.293 7.977
-2.239 1.293 7.977
0.000 -2.585 7.977
Pr Tl Te Se
1 1 1 1
Direct
0.000 0.000 0.000
0.493 0.493 0.493
0.253 0.253 0.253
0.730 0.730 0.730
```

Results
- Space-group type: R3m
- Magnetization: 0.00 Bohr magnetons per cell

***

# 2
A relaxed structure of PrDySiGe. Source: Alexandria, functional PBE.

POSCAR file:
```
PrDySiGe
1.0
3.971 0.000 0.000
0.000 2.204 5.445
0.000 -2.204 5.445
Pr Dy Si Ge
1 1 1 1
Direct
0.000 0.000 0.000
0.500 0.278 0.278
0.000 0.721 0.721
0.500 0.565 0.565
```

Results
- Space-group type: Amm2
- DOS at the Fermi energy: 3.0 states/eV per cell
- Magnetization: 0.00 Bohr magnetons per cell

***

| no. | raw formation energy (eV per atom) |
| --- | --- |
| 1 | -1.223 |
| 2 | -0.791 |